Entry 1:
A plane-wave DFT calculation with PBE-GGA was carried out for a geometry-optimized VCo3H structure.

Values from the calculation:
For the energy relative to the lowest polymorph listed for this composition, the calculation gives 2.0 kJ per mole of atoms. For the total DFT energy (no corrections), the calculation gives -6.886 eV/atom.

a b c (Å): 4.0851 5.1279 4.3994
angles (deg): 90.00 91.11 90.00
Closest atoms and distances in Å follow each position.
Element x y z (fractional)
1 H 0.9522 0.5966 0.6632  4 Co 1.79-1.85, 2 V 1.89
2 H 0.9523 0.0966 0.6631  4 Co 1.79-1.85, 2 V 1.89
3 Co 0.7002 0.5987 0.3270  1 H 1.79
4 Co 0.6960 0.3467 0.8456  2 H 1.85
5 Co 0.2042 0.0987 0.9993  1 H 1.79
6 Co 0.7003 0.0947 0.3270  1 H 1.79
7 Co 0.2042 0.5947 0.9993  1 H 1.79
8 Co 0.2085 0.8467 0.4806  2 H 1.85
9 V 0.6785 0.8467 0.8440  2 H 1.89
10 V 0.2261 0.3468 0.4823  2 H 1.89

---

Entry 2:
A plane-wave DFT calculation with PBE-GGA was carried out for a geometry-optimized NaTlGa2 structure.

Values from the calculation:
For the energy relative to the lowest polymorph listed for this composition, the calculation gives 7.0 kJ per mole of atoms. Its formation energy is 0.09 eV per atom. For the total DFT energy (no corrections), the calculation gives -2.349 eV/atom.

a b c (Å): 3.3718 3.3718 10.0728
angles (deg): 80.37 80.37 60.00
Closest atoms and distances in Å follow each position.
Element x y z (fractional)
1 Na 0.5000 0.5000 0.5000  6 Ga 3.16, 6 Na 3.37
2 Tl 0.0000 0.0000 0.0000  6 Ga 3.13, 6 Tl 3.37
3 Ga 0.2505 0.2505 0.2486  3 Tl 3.13, 3 Na 3.16, 6 Ga 3.37
4 Ga 0.7495 0.7495 0.7514  3 Tl 3.13, 3 Na 3.16, 6 Ga 3.37

---

Entry 3:
A plane-wave DFT calculation with PBE-GGA was carried out for a geometry-optimized KRb2TaCl6 structure.

Values from the calculation:
For the total DFT energy (no corrections), the calculation gives -4.167 eV/atom. For the raw formation energy, the calculation gives -1.57 eV/atom.

a b c (Å): 7.7168 7.7168 7.7165
angles (deg): 60.00 60.00 90.00
Closest atoms and distances in Å follow each position.
Element x y z (fractional)
1 K 0.5000 0.5000 0.0000  6 Cl 2.98
2 Cl 0.2270 0.2270 0.5460  1 Ta 2.48
3 Cl 0.7730 0.7730 0.4540  1 Ta 2.48
4 Cl 0.2270 0.2270 0.0000  1 Ta 2.48
5 Cl 0.7730 0.7730 0.0000  1 Ta 2.48
6 Cl 0.7730 0.2270 0.0000  1 Ta 2.48
7 Cl 0.2270 0.7730 0.0000  1 Ta 2.48
8 Rb 0.7500 0.2500 0.5000  12 Cl 3.87
9 Rb 0.2500 0.7500 0.5000  12 Cl 3.87
10 Ta 0.0000 0.0000 0.0000  6 Cl 2.48

---

Entry 4:
A plane-wave DFT calculation with PBE-GGA was carried out for a geometry-optimized Mn2SiCl structure.

Values from the calculation:
For the energy relative to the lowest polymorph listed for this composition, the calculation gives 8.1 kJ per mole of atoms. For the total DFT energy (no corrections), the calculation gives -6.358 eV/atom. For the raw formation energy, the calculation gives 0.04 eV/atom.

a b c (Å): 2.9858 2.9858 6.5386
angles (deg): 90.00 90.00 90.00
Closest atoms and distances in Å follow each position.
Element x y z (fractional)
1 Cl 0.5000 0.5000 0.7500  8 Mn 2.88, 4 Cl 2.99
2 Mn 0.0000 0.0000 0.0491  4 Si 2.49, 1 Mn 2.63
3 Mn 0.0000 0.0000 0.4509  4 Si 2.49, 1 Mn 2.63
4 Si 0.5000 0.5000 0.2500  8 Mn 2.49

---

Entry 5:
A plane-wave DFT calculation with PBE-GGA was carried out for a geometry-optimized DyHo2Cu2Ge2 structure.

Values from the calculation:
Its formation energy is -0.49 eV per atom. For the total DFT energy (no corrections), the calculation gives -4.950 eV/atom.

a b c (Å): 4.1888 4.1888 10.3390
angles (deg): 78.31 78.31 60.00
Closest atoms and distances in Å follow each position.
Element x y z (fractional)
1 Dy 0.0000 0.0000 0.0000  6 Cu 3.03, 6 Ge 3.09
2 Ho 0.1220 0.1220 0.6339  3 Ge 2.99, 3 Cu 3.05
3 Ho 0.8780 0.8780 0.3661  3 Ge 2.99, 3 Cu 3.05
4 Cu 0.6061 0.6061 0.1816  3 Ge 2.42
5 Cu 0.3939 0.3939 0.8184  3 Ge 2.42
6 Ge 0.7305 0.7305 0.8086  3 Cu 2.42
7 Ge 0.2695 0.2695 0.1914  3 Cu 2.42

---

Entry 6:
A plane-wave DFT calculation with PBE-GGA was carried out for a geometry-optimized Sr2AlBSe structure.

Values from the calculation:
For the total DFT energy (no corrections), the calculation gives -3.012 eV/atom. For the raw formation energy, the calculation gives 0.44 eV/atom.

a b c (Å): 5.8110 4.8628 5.8110
angles (deg): 90.00 90.00 90.00
Closest atoms and distances in Å follow each position.
Element x y z (fractional)
1 Sr 0.0000 0.0000 0.5000  2 Se 2.91
2 Sr 0.5000 0.0000 0.0000  2 Se 2.91
3 B 0.5000 0.5000 0.5000  8 Sr 3.79, 4 Al 4.11
4 Al 0.0000 0.5000 0.0000  2 Se 2.43
5 Se 0.0000 0.0000 0.0000  2 Al 2.43

---

Entry 7:
A plane-wave DFT calculation with PBE-GGA was carried out for a geometry-optimized KAgSn2Cl6 structure.

Values from the calculation:
For the total DFT energy (no corrections), the calculation gives -3.384 eV/atom. For the raw formation energy, the calculation gives -1.08 eV/atom.

a b c (Å): 7.5405 7.5414 7.8335
angles (deg): 60.99 61.30 59.39
Closest atoms and distances in Å follow each position.
Element x y z (fractional)
1 K 0.8003 0.8032 0.5939  6 Cl 3.05-3.26
2 Ag 0.3046 0.3010 0.0841  3 Cl 2.70
3 Sn 0.5065 0.5092 0.4783  3 Cl 2.63-2.66
4 Sn 0.0045 0.0056 0.9829  3 Cl 2.70-2.73
5 Cl 0.6178 0.2032 0.2251  1 Ag 2.70, 1 Sn 2.71
6 Cl 0.2010 0.9488 0.2310  1 Ag 2.70, 1 Sn 2.73
7 Cl 0.9534 0.6204 0.2250  1 Sn 2.70, 1 Ag 2.70
8 Cl 0.3926 0.7147 0.7272  1 Sn 2.63
9 Cl 0.7128 0.1620 0.7344  1 Sn 2.66
10 Cl 0.1681 0.3935 0.7333  1 Sn 2.64

---

Entry 8:
A plane-wave DFT calculation with PBE-GGA was carried out for a geometry-optimized TiAg2HgO4 structure.

Values from the calculation:
For the total DFT energy (no corrections), the calculation gives -5.358 eV/atom. For the raw formation energy, the calculation gives -1.14 eV/atom.

a b c (Å): 4.9621 4.9621 6.3195
angles (deg): 112.19 112.19 92.18
Closest atoms and distances in Å follow each position.
Element x y z (fractional)
1 Ti 0.4868 0.4868 0.9736  4 O 1.82-1.87
2 Ag 0.7538 0.2538 0.5076  4 O 2.31-2.45
3 Ag 0.2538 0.7538 0.5076  4 O 2.31-2.45
4 Hg 0.0413 0.0413 0.0827  2 O 2.13
5 O 0.6095 0.6095 0.7817  1 Ti 1.82
6 O 0.3801 0.8028 0.1829  1 Ti 1.87
7 O 0.8028 0.3801 0.1829  1 Ti 1.87
8 O 0.1722 0.1722 0.7817  1 Ti 1.82

---

Entry 9:
A plane-wave DFT calculation with PBE-GGA was carried out for a geometry-optimized AcMnZnPd3 structure.

Values from the calculation:
Its formation energy is -0.33 eV per atom. For the total DFT energy (no corrections), the calculation gives -5.349 eV/atom.

a b c (Å): 5.8570 6.6401 7.1164
angles (deg): 117.81 90.00 90.00
Closest atoms and distances in Å follow each position.
Element x y z (fractional)
1 Ac 0.7500 0.2932 0.5865  2 Zn 3.06, 1 Mn 3.06, 8 Pd 3.28-3.39
2 Ac 0.2500 0.7068 0.4135  2 Zn 3.06, 1 Mn 3.06, 8 Pd 3.28-3.39
3 Mn 0.2500 0.9502 0.9004  5 Pd 2.53-2.61
4 Mn 0.7500 0.0498 0.0996  5 Pd 2.53-2.61
5 Zn 0.2500 0.3631 0.7263  5 Pd 2.59-2.64
6 Zn 0.7500 0.6369 0.2737  5 Pd 2.59-2.64
7 Pd 0.2500 0.1573 0.3146  1 Zn 2.59, 1 Mn 2.61
8 Pd 0.0000 0.2953 0.0000  2 Mn 2.53, 2 Zn 2.64, 1 Pd 2.72
9 Pd 0.5000 0.7047 0.0000  2 Mn 2.53, 2 Zn 2.64, 1 Pd 2.72
10 Pd 0.5000 0.2953 0.0000  2 Mn 2.53, 2 Zn 2.64, 1 Pd 2.72
11 Pd 0.0000 0.7047 0.0000  2 Mn 2.53, 2 Zn 2.64, 1 Pd 2.72
12 Pd 0.7500 0.8427 0.6854  1 Zn 2.59, 1 Mn 2.61

---

Entry 10:
A plane-wave DFT calculation with PBE-GGA was carried out for a geometry-optimized KCr4As structure.

Values from the calculation:
Its formation energy is 1.11 eV per atom. For the total DFT energy (no corrections), the calculation gives -6.264 eV/atom.

a b c (Å): 5.0712 5.0712 5.0712
angles (deg): 60.00 60.00 60.00
Closest atoms and distances in Å follow each position.
Element x y z (fractional)
1 K 0.7500 0.7500 0.7500  12 Cr 2.99, 4 As 3.11
2 Cr 0.8970 0.3677 0.3677  3 Cr 2.39
3 Cr 0.3677 0.3677 0.8970  3 Cr 2.39
4 Cr 0.3677 0.8970 0.3677  3 Cr 2.39
5 Cr 0.3677 0.3677 0.3677  3 Cr 2.39
6 As 0.0000 0.0000 0.0000  12 Cr 2.96, 4 K 3.11

---

Entry 11:
A plane-wave DFT calculation with PBE-GGA was carried out for a geometry-optimized BaNd2WN4 structure.

Values from the calculation:
For the total DFT energy (no corrections), the calculation gives -8.159 eV/atom. For the raw formation energy, the calculation gives -0.94 eV/atom.

a b c (Å): 3.5987 6.6731 12.4721
angles (deg): 90.00 90.00 105.64
Closest atoms and distances in Å follow each position.
Element x y z (fractional)
1 Ba 0.0813 0.1626 0.7500  8 N 3.02-3.29, 1 W 3.36
2 Ba 0.9187 0.8374 0.2500  8 N 3.02-3.29, 1 W 3.36
3 Nd 0.3711 0.7422 0.5367  6 N 2.46-2.68
4 Nd 0.6289 0.2578 0.0367  6 N 2.46-2.68
5 Nd 0.6289 0.2578 0.4633  6 N 2.46-2.68
6 Nd 0.3711 0.7422 0.9633  6 N 2.46-2.68
7 W 0.8201 0.6401 0.7500  4 N 1.88-2.03
8 W 0.1799 0.3599 0.2500  4 N 1.88-2.03
9 N 0.2585 0.5170 0.1225  1 W 1.88
10 N 0.7415 0.4830 0.6225  1 W 1.88
11 N 0.7415 0.4830 0.8775  1 W 1.88
12 N 0.2585 0.5170 0.3775  1 W 1.88
13 N 0.0000 0.0000 0.5000  4 Nd 2.49
14 N 0.0000 0.0000 0.0000  4 Nd 2.49
15 N 0.3927 0.7854 0.7500  2 W 2.03
16 N 0.6073 0.2146 0.2500  2 W 2.03